No. 1
Compound: Ac2AlFeS6
Source: the Alexandria database
Functional: PBE
Structure: relaxed

abc: 6.6249 9.3664 6.6256
angles: 90.00 90.00 90.00
Closest atoms and distances in Å follow each position.
Fractional coordinates of all 20 atoms:
1 Ac 0.2500 0.9998 0.2489  12 S 3.30-3.33
2 Ac 0.2500 0.5002 0.2489  12 S 3.30-3.33
3 Ac 0.7500 0.0002 0.7511  12 S 3.30-3.33
4 Ac 0.7500 0.4998 0.7511  12 S 3.30-3.33
5 Al 0.2500 0.2500 0.7497  6 S 2.36-2.37
6 Al 0.7500 0.7500 0.2503  6 S 2.36-2.37
7 Fe 0.2500 0.7500 0.7495  6 S 2.32
8 Fe 0.7500 0.2500 0.2505  6 S 2.32
9 S 0.0019 0.7500 0.9971  1 Fe 2.32, 1 Al 2.37
10 S 0.0026 0.7500 0.5018  1 Fe 2.32, 1 Al 2.36
11 S 0.2500 0.5026 0.7514  1 Fe 2.32, 1 Al 2.37
12 S 0.2500 0.9974 0.7514  1 Fe 2.32, 1 Al 2.37
13 S 0.4974 0.7500 0.5018  1 Fe 2.32, 1 Al 2.36
14 S 0.4981 0.7500 0.9971  1 Fe 2.32, 1 Al 2.37
15 S 0.5019 0.2500 0.0029  1 Fe 2.32, 1 Al 2.37
16 S 0.5026 0.2500 0.4982  1 Fe 2.32, 1 Al 2.36
17 S 0.7500 0.0026 0.2486  1 Fe 2.32, 1 Al 2.37
18 S 0.7500 0.4974 0.2486  1 Fe 2.32, 1 Al 2.37
19 S 0.9974 0.2500 0.4982  1 Fe 2.32, 1 Al 2.36
20 S 0.9981 0.2500 0.0029  1 Fe 2.32, 1 Al 2.37

Calculated values
space group	No. 59
raw total energy	-5.794	eV per atom
total magnetization	5.19	μB/cell


No. 2
Compound: Ac2AlGa
Source: the Alexandria database
Functional: PBE
Structure: relaxed

abc: 3.9398 3.9398 7.8970
angles: 90.00 90.00 90.00
Closest atoms and distances in Å follow each position.
Fractional coordinates of all 4 atoms:
1 Ac 0.0000 0.0000 0.2476  4 Ga 3.40, 4 Al 3.43
2 Ac 0.0000 0.0000 0.7524  4 Ga 3.40, 4 Al 3.43
3 Al 0.5000 0.5000 0.5000  8 Ac 3.43
4 Ga 0.5000 0.5000 0.0000  8 Ac 3.40

Calculated values
space group	No. 123
raw total energy	-4.075	eV per atom
formation enthalpy at 0 K	-0.329	eV/atom
total magnetization	0.00	μB/cell


Look up the raw total energy of the second one. -4.075 eV per atom